Na3Pt | PBE-GGA | relaxed

abc: 5.3959 5.3959 12.4592
angles: 148.85 148.85 32.88
With the nearest neighbours (Å) after each atom.
Positions (direct):
Na: 0.0511 0.0511 0.0341  5 Na 2.95-3.08, 3 Pt 2.98-3.17
Na: 0.9489 0.9489 0.4659  5 Na 2.95-3.08, 3 Pt 2.98-3.17
Na: 0.0000 0.0000 0.7500  8 Na 3.05-3.37, 4 Pt 3.22
Pt: 0.0000 0.0000 0.2500  10 Na 2.98-3.22, 2 Pt 3.05

Results
For the density of states at the Fermi level, the calculation gives 0.31 states/eV/atom. The calculation puts the energy of formation from the pure elements at -0.017 eV/atom. As for the crystal system: monoclinic. The calculated volume is 22.2 Å³/atom.